Entry 1:
AlCu2W at its PBEsol-relaxed geometry. Source: the Alexandria database, functional meta-GGA SCAN.

Calculated values
DOS at the Fermi energy (states/eV per atom): 0.58
E_form (kcal/mol of atoms): 4.41
Energy (eV per cell): -107.07
Spin magnetization (μB/atom): 0.0000
Symmetry: Pmmm

Cell lengths 2.8532, 4.3373, 4.3484 Å; angles 90.00, 90.00, 90.00 degrees
Atoms (fractional coordinates):
Al 0.0000 0.0000 0.0000
Cu 0.0000 0.5000 0.5000
Cu 0.5000 0.5000 0.0000
W 0.5000 0.0000 0.5000

***

Entry 2:
La2AlBr at its PBEsol-relaxed geometry. Source: the Alexandria database, functional meta-GGA SCAN.

Calculated values
Energy above the most stable polymorph in this dataset (meV per atom): 237
DOS at the Fermi energy (states/eV per atom): 0.65
Formation energy without anion corrections (eV per atom): -0.706
Energy (eV per cell): -116.25
Spin magnetization (μB/atom): 0.0001
Symmetry: I4/mmm

Cell lengths 5.3135, 5.3135, 5.3135 Å; angles 118.21, 118.21, 93.13 degrees
Atoms (fractional coordinates):
La 0.2500 0.7500 0.5000
La 0.7500 0.2500 0.5000
Al 0.0000 0.0000 0.0000
Br 0.5000 0.5000 0.0000

***

Entry 3:
TaGaNi6 at its PBEsol-relaxed geometry. Source: the Alexandria database, functional meta-GGA SCAN.

Calculated values
DOS at the Fermi energy (states/eV per atom): 0.34
E_form (kcal/mol of atoms): -7.92
Energy (eV per cell): -182.72
Spin magnetization (μB/atom): 0.0000
Symmetry: P4/mmm

Cell lengths 3.5827, 3.5827, 7.1051 Å; angles 90.00, 90.00, 90.00 degrees
Atoms (fractional coordinates):
Ta 0.0000 0.0000 0.0000
Ga 0.0000 0.0000 0.5000
Ni 0.0000 0.5000 0.2530
Ni 0.0000 0.5000 0.7470
Ni 0.5000 0.0000 0.2530
Ni 0.5000 0.0000 0.7470
Ni 0.5000 0.5000 0.0000
Ni 0.5000 0.5000 0.5000

***

Entry 4:
Y3ScBe at its PBEsol-relaxed geometry. Source: the Alexandria database, functional meta-GGA SCAN.

Calculated values
DOS at the Fermi energy (states/eV per atom): 1.28
E_form (kcal/mol of atoms): 7.45
Energy (eV per cell): -100.50
Spin magnetization (μB/atom): 0.0001
Symmetry: Pm-3m

Cell lengths 5.1973, 5.1973, 5.1973 Å; angles 90.00, 90.00, 90.00 degrees
Atoms (fractional coordinates):
Y 0.0000 0.0000 0.5000
Y 0.0000 0.5000 0.0000
Y 0.5000 0.0000 0.0000
Sc 0.5000 0.5000 0.5000
Be 0.0000 0.0000 0.0000

***

Entry 5:
Fe2CuCl at its PBEsol-relaxed geometry. Source: the Alexandria database, functional meta-GGA SCAN.

Calculated values
DOS at the Fermi energy (states/eV per atom): 0.18
Formation energy without anion corrections (eV per atom): 0.267
Energy (eV per cell): -58.37
Spin magnetization (μB/atom): 1.4949
Symmetry: P4/mmm

Cell lengths 2.8112, 2.8112, 6.3789 Å; angles 90.00, 90.00, 90.00 degrees
Atoms (fractional coordinates):
Fe 0.0000 0.0000 0.2400
Fe 0.0000 0.0000 0.7600
Cu 0.5000 0.5000 0.0000
Cl 0.5000 0.5000 0.5000

***

Entry 6:
SbMoOs2 at its PBEsol-relaxed geometry. Source: the Alexandria database, functional meta-GGA SCAN.

Calculated values
DOS at the Fermi energy (states/eV per atom): 0.77
Formation energy without anion corrections (eV per atom): 0.529
Energy (eV per cell): -213.79
Spin magnetization (μB/atom): 0.0000
Symmetry: Pmm2

Cell lengths 2.8764, 3.9617, 5.6254 Å; angles 90.00, 90.00, 90.00 degrees
Atoms (fractional coordinates):
Sb 0.0000 0.0000 0.0000
Mo 0.5000 0.5000 0.2563
Os 0.0000 0.0000 0.5232
Os 0.5000 0.5000 0.7062